Record 1
Material: DySnTe3Au
Method: DFT, PBE
State: relaxed

a b c (Å): 12.7314 4.3888 12.6138
angles (deg): 90.00 90.00 90.00
Element x y z (fractional)
Dy 0.0396 0.2500 0.1923
Dy 0.4604 0.7500 0.6923
Dy 0.5396 0.2500 0.3077
Dy 0.9604 0.7500 0.8077
Sn 0.2045 0.2500 0.4630
Sn 0.2955 0.7500 0.9630
Sn 0.7045 0.2500 0.0370
Sn 0.7955 0.7500 0.5370
Te 0.0233 0.7500 0.3667
Te 0.0903 0.2500 0.9354
Te 0.2178 0.7500 0.6722
Te 0.2822 0.2500 0.1722
Te 0.4097 0.7500 0.4354
Te 0.4767 0.2500 0.8667
Te 0.5233 0.7500 0.1333
Te 0.5903 0.2500 0.5646
Te 0.7178 0.7500 0.8278
Te 0.7822 0.2500 0.3278
Te 0.9097 0.7500 0.0646
Te 0.9767 0.2500 0.6333
Au 0.2295 0.7500 0.3015
Au 0.2705 0.2500 0.8015
Au 0.7295 0.7500 0.1985
Au 0.7705 0.2500 0.6985

Calculated values
offset from the most stable computed form = 0.047 eV/atom
VASP energy = -4.160 eV per atom
crystal system = orthorhombic

=====

Record 2
Material: Er3Si4Ni2
Method: DFT, PBE
State: relaxed

a b c (Å): 5.5054 5.5054 7.8376
angles (deg): 104.70 104.70 43.06
Element x y z (fractional)
Er 0.0000 0.0000 0.0000
Er 0.3773 0.3773 0.3054
Er 0.6227 0.6227 0.6946
Si 0.0934 0.0934 0.4090
Si 0.2836 0.2836 0.9261
Si 0.7164 0.7164 0.0739
Si 0.9066 0.9066 0.5910
Ni 0.3124 0.3124 0.6398
Ni 0.6876 0.6876 0.3602

Calculated values
VASP energy = -5.981 eV per atom
crystal system = monoclinic

=====

Record 3
Material: InAgH12C2Br6N2
Method: DFT, PBE
State: relaxed

a b c (Å): 7.6801 7.6801 7.1673
angles (deg): 90.00 90.00 120.00
Element x y z (fractional)
In 0.0000 0.0000 0.0000
Ag 0.0000 0.0000 0.5000
H 0.1891 0.6456 0.4118
H 0.2188 0.5321 0.1029
H 0.3132 0.7812 0.1029
H 0.3544 0.5434 0.4118
H 0.4566 0.8109 0.4118
H 0.4679 0.6868 0.1029
H 0.5321 0.3132 0.8971
H 0.5434 0.1891 0.5882
H 0.6456 0.4566 0.5882
H 0.6868 0.2188 0.8971
H 0.7812 0.4679 0.8971
H 0.8109 0.3544 0.5882
C 0.3333 0.6667 0.3634
C 0.6667 0.3333 0.6366
Br 0.1355 0.8098 0.7759
Br 0.1902 0.3257 0.7759
Br 0.3257 0.1355 0.2241
Br 0.6743 0.8645 0.7759
Br 0.8098 0.6743 0.2241
Br 0.8645 0.1902 0.2241
N 0.3333 0.6667 0.1562
N 0.6667 0.3333 0.8438

Calculated values
VASP energy = -4.256 eV per atom
crystal system = trigonal

=====

Record 4
Material: Sc2Co
Method: DFT, PBE
State: relaxed

a b c (Å): 5.2402 5.2402 5.2402
angles (deg): 106.37 106.37 115.88
Element x y z (fractional)
Sc 0.1755 0.6755 0.8510
Sc 0.3245 0.1755 0.5000
Sc 0.6755 0.8245 0.5000
Sc 0.8245 0.3245 0.1490
Co 0.2500 0.2500 0.0000
Co 0.7500 0.7500 0.0000

Calculated values
VASP energy = -6.847 eV per atom
crystal system = tetragonal